(1)
A plane-wave DFT calculation with PBE-GGA was carried out for an optimized crystal structure of FeSe2I2.

Output
- Crystal system: tetragonal
- ρ: 4.53 g/cm3
- Space group: P4/mbm
- Formation energy (no corrections): 151 meV per atom
- Offset from the most stable computed form: 0.00 eV per formula unit

```
FeSe2I2
1.0
6.222 0.000 0.000
0.000 6.222 0.000
0.000 0.000 8.860
Fe Se I
2 4 4
direct
0.000 0.000 0.000
0.500 0.500 0.000
0.144 0.356 0.000
0.356 0.856 0.000
0.644 0.144 0.000
0.856 0.644 0.000
0.189 0.689 0.500
0.311 0.189 0.500
0.689 0.811 0.500
0.811 0.311 0.500
```



(2)
A plane-wave DFT calculation with PBE-GGA was carried out for an optimized crystal structure of FeSeI.

Output
- Crystal system: monoclinic
- ρ: 4.47 g/cm3
- Space group: P2_1/c
- Formation energy (no corrections): -48 meV per atom

```
FeSeI
1.0
8.935 0.000 0.000
0.000 6.262 0.000
-3.260 0.000 6.956
Fe Se I
4 4 4
direct
0.071 0.150 0.129
0.071 0.350 0.629
0.929 0.650 0.371
0.929 0.850 0.871
0.065 0.702 0.697
0.065 0.798 0.197
0.935 0.202 0.803
0.935 0.298 0.303
0.335 0.157 0.741
0.335 0.343 0.241
0.665 0.657 0.759
0.665 0.843 0.259
```



(3)
A plane-wave DFT calculation with PBE-GGA was carried out for an optimized crystal structure of FeSe3I.

Output
- Crystal system: cubic
- ρ: 6.43 g/cm3
- Space group: Pm-3m
- Formation energy (no corrections): 403 meV per atom
- Offset from the most stable computed form: 0.00 eV per formula unit

```
FeSe3I
1.0
4.769 0.000 0.000
0.000 4.769 0.000
0.000 0.000 4.769
Fe Se I
1 3 1
direct
0.000 0.000 0.000
0.000 0.000 0.500
0.000 0.500 0.000
0.500 0.000 0.000
0.500 0.500 0.500
```



(4)
A plane-wave DFT calculation with PBE-GGA was carried out for an optimized crystal structure of Fe2SeI.

Output
- Crystal system: tetragonal
- ρ: 6.43 g/cm3
- Space group: I-42d
- Formation energy (no corrections): 441 meV per atom
- Offset from the most stable computed form: 0.00 eV per formula unit

```
Fe2SeI
1.0
5.388 0.000 0.000
0.000 5.388 0.000
0.000 0.000 11.302
Fe Se I
8 4 4
direct
0.212 0.250 0.125
0.250 0.712 0.375
0.250 0.788 0.875
0.288 0.250 0.625
0.712 0.750 0.625
0.750 0.212 0.875
0.750 0.288 0.375
0.788 0.750 0.125
0.000 0.000 0.000
0.000 0.500 0.250
0.500 0.000 0.750
0.500 0.500 0.500
0.000 0.000 0.500
0.000 0.500 0.750
0.500 0.000 0.250
0.500 0.500 0.000
```



(5)
A plane-wave DFT calculation with PBE-GGA was carried out for an optimized crystal structure of Fe2SeI.

Output
- Crystal system: cubic
- ρ: 7.20 g/cm3
- Space group: Fm-3m
- Formation energy (no corrections): 692 meV per atom
- Offset from the most stable computed form: 1.01 eV per formula unit

```
Fe2SeI
1.0
6.642 0.000 0.000
0.000 6.642 0.000
0.000 0.000 6.642
Fe Se I
8 4 4
direct
0.250 0.250 0.250
0.250 0.250 0.750
0.250 0.750 0.250
0.250 0.750 0.750
0.750 0.250 0.250
0.750 0.250 0.750
0.750 0.750 0.250
0.750 0.750 0.750
0.000 0.000 0.000
0.000 0.500 0.500
0.500 0.000 0.500
0.500 0.500 0.000
0.000 0.000 0.500
0.000 0.500 0.000
0.500 0.000 0.000
0.500 0.500 0.500
```



(6)
A plane-wave DFT calculation with PBE-GGA was carried out for an optimized crystal structure of FeSe2I.

Output
- Crystal system: trigonal
- ρ: 4.94 g/cm3
- Space group: R-3m
- Formation energy (no corrections): 480 meV per atom
- Offset from the most stable computed form: 2.15 eV per formula unit

```
FeSe2I
1.0
3.166 0.000 0.000
-1.583 2.742 0.000
0.000 0.000 39.564
Fe Se I
3 6 3
direct
0.000 0.000 0.000
0.333 0.667 0.667
0.667 0.333 0.333
0.000 0.000 0.058
0.000 0.000 0.942
0.333 0.667 0.609
0.333 0.667 0.724
0.667 0.333 0.276
0.667 0.333 0.391
0.000 0.000 0.500
0.333 0.667 0.167
0.667 0.333 0.833
```



(7)
A plane-wave DFT calculation with PBE-GGA was carried out for an optimized crystal structure of FeSe2I.

Output
- Crystal system: trigonal
- ρ: 5.81 g/cm3
- Space group: R-3m
- Formation energy (no corrections): -56 meV per atom
- Offset from the most stable computed form: 0.00 eV per formula unit

```
FeSe2I
1.0
3.713 0.000 0.000
-1.857 3.216 0.000
0.000 0.000 24.459
Fe Se I
3 6 3
direct
0.000 0.000 0.000
0.333 0.667 0.667
0.667 0.333 0.333
0.000 0.000 0.383
0.000 0.000 0.617
0.333 0.667 0.050
0.333 0.667 0.284
0.667 0.333 0.716
0.667 0.333 0.950
0.000 0.000 0.500
0.333 0.667 0.167
0.667 0.333 0.833
```



(8)
A plane-wave DFT calculation with PBE-GGA was carried out for an optimized crystal structure of FeSe2I.

Output
- Crystal system: cubic
- ρ: 7.09 g/cm3
- Space group: Fm-3m
- Formation energy (no corrections): 1106 meV per atom
- Offset from the most stable computed form: 4.65 eV per formula unit

```
FeSe2I
1.0
6.832 0.000 0.000
0.000 6.832 0.000
0.000 0.000 6.832
Fe Se I
4 8 4
direct
0.000 0.000 0.000
0.000 0.500 0.500
0.500 0.000 0.500
0.500 0.500 0.000
0.250 0.250 0.250
0.250 0.250 0.750
0.250 0.750 0.250
0.250 0.750 0.750
0.750 0.250 0.250
0.750 0.250 0.750
0.750 0.750 0.250
0.750 0.750 0.750
0.000 0.000 0.500
0.000 0.500 0.000
0.500 0.000 0.000
0.500 0.500 0.500
```



(9)
A plane-wave DFT calculation with PBE-GGA was carried out for an optimized crystal structure of FeSiSeI2.

Output
- Crystal system: tetragonal
- ρ: 4.09 g/cm3
- Space group: P4/mmm
- Formation energy (no corrections): 1186 meV per atom

```
FeSiSeI2
1.0
5.706 0.000 0.000
0.000 5.706 0.000
0.000 0.000 5.200
Fe Si Se I
1 1 1 2
direct
0.000 0.000 0.000
0.500 0.500 0.000
0.500 0.500 0.500
0.000 0.500 0.500
0.500 0.000 0.500
```



(10)
A plane-wave DFT calculation with PBE-GGA was carried out for an optimized crystal structure of SrFeSe2I.

Output
- Crystal system: tetragonal
- ρ: 5.17 g/cm3
- Space group: P4/mmm
- Formation energy (no corrections): -483 meV per atom

```
SrFeSe2I
1.0
4.590 0.000 0.000
0.000 4.590 0.000
0.000 0.000 6.523
Sr Fe Se I
1 1 2 1
direct
0.000 0.000 0.000
0.000 0.000 0.500
0.000 0.500 0.500
0.500 0.000 0.500
0.500 0.500 0.000
```



(11)
A plane-wave DFT calculation with PBE-GGA was carried out for an optimized crystal structure of SrFe2SeI.

Output
- Crystal system: tetragonal
- ρ: 4.18 g/cm3
- Space group: P4/mmm
- Formation energy (no corrections): 491 meV per atom

```
SrFe2SeI
1.0
4.657 0.000 0.000
0.000 4.657 0.000
0.000 0.000 7.423
Sr Fe Se I
1 2 1 1
direct
0.000 0.000 0.000
0.000 0.500 0.500
0.500 0.000 0.500
0.500 0.500 0.000
0.500 0.500 0.500
```



(12)
A plane-wave DFT calculation with PBE-GGA was carried out for an optimized crystal structure of FeTe2SeI.

Output
- Crystal system: tetragonal
- ρ: 5.08 g/cm3
- Space group: P4/mmm
- Formation energy (no corrections): 959 meV per atom
- Offset from the most stable computed form: 2.10 eV per formula unit

```
FeTe2SeI
1.0
5.503 0.000 0.000
0.000 5.503 0.000
0.000 0.000 5.578
Fe Te Se I
1 2 1 1
direct
0.000 0.000 0.000
0.000 0.500 0.500
0.500 0.000 0.500
0.500 0.500 0.500
0.500 0.500 0.000
```



(13)
A plane-wave DFT calculation with PBE-GGA was carried out for an optimized crystal structure of FeTeSeI2.

Output
- Crystal system: tetragonal
- ρ: 6.37 g/cm3
- Space group: P4/mmm
- Formation energy (no corrections): 526 meV per atom
- Offset from the most stable computed form: 0.00 eV per formula unit

```
FeTeSeI2
1.0
5.213 0.000 0.000
0.000 5.213 0.000
0.000 0.000 4.952
Fe Te Se I
1 1 1 2
direct
0.000 0.000 0.000
0.000 0.000 0.500
0.500 0.500 0.500
0.000 0.500 0.000
0.500 0.000 0.000
```



(14)
A plane-wave DFT calculation with PBE-GGA was carried out for an optimized crystal structure of FeTe2SeI.

Output
- Crystal system: tetragonal
- ρ: 6.60 g/cm3
- Space group: P4/mmm
- Formation energy (no corrections): 539 meV per atom
- Offset from the most stable computed form: 0.00 eV per formula unit

```
FeTe2SeI
1.0
4.952 0.000 0.000
0.000 4.952 0.000
0.000 0.000 5.304
Fe Te Se I
1 2 1 1
direct
0.000 0.000 0.000
0.000 0.500 0.000
0.500 0.000 0.000
0.500 0.500 0.500
0.000 0.000 0.500
```



(15)
A plane-wave DFT calculation with PBE-GGA was carried out for an optimized crystal structure of FeTeSeI2.

Output
- Crystal system: tetragonal
- ρ: 4.76 g/cm3
- Space group: P4/mmm
- Formation energy (no corrections): 912 meV per atom
- Offset from the most stable computed form: 1.93 eV per formula unit

```
FeTeSeI2
1.0
5.649 0.000 0.000
0.000 5.649 0.000
0.000 0.000 5.646
Fe Te Se I
1 1 1 2
direct
0.000 0.000 0.000
0.500 0.500 0.000
0.500 0.500 0.500
0.000 0.500 0.500
0.500 0.000 0.500
```



(16)
A plane-wave DFT calculation with PBE-GGA was carried out for an optimized crystal structure of Fe3SiI.

Output
- Crystal system: cubic
- ρ: 5.28 g/cm3
- Space group: Pm-3m
- Formation energy (no corrections): 1675 meV per atom
- Offset from the most stable computed form: 4.25 eV per formula unit

```
Fe3SiI
1.0
4.664 0.000 0.000
0.000 4.664 0.000
0.000 0.000 4.664
Fe Si I
3 1 1
direct
0.000 0.000 0.500
0.000 0.500 0.000
0.500 0.000 0.000
0.500 0.500 0.500
0.000 0.000 0.000
```



(17)
A plane-wave DFT calculation with PBE-GGA was carried out for an optimized crystal structure of FeSiI3.

Output
- Crystal system: cubic
- ρ: 4.35 g/cm3
- Space group: Pm-3m
- Formation energy (no corrections): 712 meV per atom

```
FeSiI3
1.0
5.620 0.000 0.000
0.000 5.620 0.000
0.000 0.000 5.620
Fe Si I
1 1 3
direct
0.000 0.000 0.000
0.500 0.500 0.500
0.000 0.500 0.500
0.500 0.000 0.500
0.500 0.500 0.000
```



(18)
A plane-wave DFT calculation with PBE-GGA was carried out for an optimized crystal structure of Fe2SiI2.

Output
- Crystal system: tetragonal
- ρ: 4.62 g/cm3
- Space group: I4/mmm
- Formation energy (no corrections): 692 meV per atom

```
Fe2SiI2
1.0
4.951 0.000 0.000
0.000 4.951 0.000
0.000 0.000 11.540
Fe Si I
4 2 4
direct
0.000 0.000 0.181
0.000 0.000 0.819
0.500 0.500 0.319
0.500 0.500 0.681
0.000 0.000 0.000
0.500 0.500 0.500
0.000 0.500 0.250
0.000 0.500 0.750
0.500 0.000 0.250
0.500 0.000 0.750
```



(19)
A plane-wave DFT calculation with PBE-GGA was carried out for an optimized crystal structure of Fe2SiI.

Output
- Crystal system: tetragonal
- ρ: 5.74 g/cm3
- Space group: I-42d
- Formation energy (no corrections): 727 meV per atom
- Offset from the most stable computed form: 0.06 eV per formula unit

```
Fe2SiI
1.0
5.167 0.000 0.000
0.000 5.167 0.000
0.000 0.000 11.563
Fe Si I
8 4 4
direct
0.204 0.250 0.125
0.250 0.704 0.375
0.250 0.796 0.875
0.296 0.250 0.625
0.704 0.750 0.625
0.750 0.204 0.875
0.750 0.296 0.375
0.796 0.750 0.125
0.000 0.000 0.000
0.000 0.500 0.250
0.500 0.000 0.750
0.500 0.500 0.500
0.000 0.000 0.500
0.000 0.500 0.750
0.500 0.000 0.250
0.500 0.500 0.000
```



(20)
A plane-wave DFT calculation with PBE-GGA was carried out for an optimized crystal structure of Fe2SiI2.

Output
- Crystal system: tetragonal
- ρ: 5.53 g/cm3
- Space group: P4/mbm
- Formation energy (no corrections): 660 meV per atom

```
Fe2SiI2
1.0
6.759 0.000 0.000
0.000 6.759 0.000
0.000 0.000 5.172
Fe Si I
4 2 4
direct
0.209 0.291 0.000
0.291 0.791 0.000
0.709 0.209 0.000
0.791 0.709 0.000
0.000 0.000 0.000
0.500 0.500 0.000
0.187 0.313 0.500
0.313 0.813 0.500
0.687 0.187 0.500
0.813 0.687 0.500
```